An optimized crystal structure of PrSc2Re. Source: Alexandria, functional GGA-PBE.

E_form in eV/atom: 0.01

Structure (CIF):
```
data_PrSc2Re
_chemical_formula_sum 'Pr1 Sc2 Re1'
_space_group_name_H-M_alt 'P 1'
_space_group_IT_number 1
_cell_length_a 3.304
_cell_length_b 3.304
_cell_length_c 8.766
_cell_angle_alpha 90.00
_cell_angle_beta 90.00
_cell_angle_gamma 90.00
loop_
_space_group_symop_operation_xyz
'x,y,z'
loop_
_atom_site_label
_atom_site_fract_x
_atom_site_fract_y
_atom_site_fract_z
_atom_site_occupancy
Pr1 0.000 0.000 0.000 1
Sc1 0.500 0.500 0.324 1
Sc2 0.500 0.500 0.676 1
Re1 0.000 0.000 0.500 1
```

An optimized crystal structure of PrScRe4. Source: Alexandria, functional GGA-PBE.

E_form in eV/atom: -0.04

Structure (CIF):
```
data_PrScRe4
_chemical_formula_sum 'Pr1 Sc1 Re4'
_space_group_name_H-M_alt 'P 1'
_space_group_IT_number 1
_cell_length_a 5.414
_cell_length_b 5.414
_cell_length_c 5.414
_cell_angle_alpha 60.00
_cell_angle_beta 60.00
_cell_angle_gamma 60.00
loop_
_space_group_symop_operation_xyz
'x,y,z'
loop_
_atom_site_label
_atom_site_fract_x
_atom_site_fract_y
_atom_site_fract_z
_atom_site_occupancy
Pr1 0.000 0.000 0.000 1
Sc1 0.250 0.250 0.250 1
Re1 0.126 0.625 0.625 1
Re2 0.625 0.126 0.625 1
Re3 0.625 0.625 0.126 1
Re4 0.625 0.625 0.625 1
```

An optimized crystal structure of PrRe4Se8. Source: Alexandria, functional GGA-PBE.

Formation energy without anion corrections in eV per atom: -0.145

Structure (CIF):
```
data_PrRe4Se8
_chemical_formula_sum 'Pr1 Re4 Se8'
_space_group_name_H-M_alt 'P 1'
_space_group_IT_number 1
_cell_length_a 7.468
_cell_length_b 7.468
_cell_length_c 7.800
_cell_angle_alpha 118.53
_cell_angle_beta 118.53
_cell_angle_gamma 60.10
loop_
_space_group_symop_operation_xyz
'x,y,z'
loop_
_atom_site_label
_atom_site_fract_x
_atom_site_fract_y
_atom_site_fract_z
_atom_site_occupancy
Pr1 0.000 0.000 0.000 1
Re1 0.000 0.000 0.500 1
Re2 0.000 0.500 0.500 1
Re3 0.500 0.000 0.500 1
Re4 0.500 0.500 0.500 1
Se1 0.238 0.238 0.715 1
Se2 0.248 0.733 0.714 1
Se3 0.267 0.267 0.286 1
Se4 0.267 0.752 0.286 1
Se5 0.733 0.248 0.714 1
Se6 0.733 0.733 0.714 1
Se7 0.752 0.267 0.286 1
Se8 0.762 0.762 0.285 1
```

An optimized crystal structure of Pr3Re3Si8. Source: Alexandria, functional GGA-PBE.

Formation energy without anion corrections in eV per atom: -0.325

Structure (CIF):
```
data_Pr3Re3Si8
_chemical_formula_sum 'Pr3 Re3 Si8'
_space_group_name_H-M_alt 'P 1'
_space_group_IT_number 1
_cell_length_a 8.075
_cell_length_b 8.075
_cell_length_c 8.075
_cell_angle_alpha 149.72
_cell_angle_beta 103.76
_cell_angle_gamma 84.17
loop_
_space_group_symop_operation_xyz
'x,y,z'
loop_
_atom_site_label
_atom_site_fract_x
_atom_site_fract_y
_atom_site_fract_z
_atom_site_occupancy
Pr1 0.000 0.000 0.000 1
Pr2 0.314 0.314 0.000 1
Pr3 0.686 0.686 0.000 1
Re1 0.276 0.500 0.776 1
Re2 0.500 0.000 0.500 1
Re3 0.724 0.500 0.224 1
Si1 0.028 0.666 0.362 1
Si2 0.171 0.881 0.291 1
Si3 0.305 0.666 0.638 1
Si4 0.410 0.119 0.291 1
Si5 0.590 0.881 0.709 1
Si6 0.695 0.334 0.362 1
Si7 0.829 0.119 0.709 1
Si8 0.972 0.334 0.638 1
```

An optimized crystal structure of PrRe4Si4. Source: Alexandria, functional GGA-PBE.

Formation energy without anion corrections in eV per atom: -0.285

Structure (CIF):
```
data_PrRe4Si4
_chemical_formula_sum 'Pr2 Re8 Si8'
_space_group_name_H-M_alt 'P 1'
_space_group_IT_number 1
_cell_length_a 8.169
_cell_length_b 8.169
_cell_length_c 4.661
_cell_angle_alpha 90.00
_cell_angle_beta 90.00
_cell_angle_gamma 90.00
loop_
_space_group_symop_operation_xyz
'x,y,z'
loop_
_atom_site_label
_atom_site_fract_x
_atom_site_fract_y
_atom_site_fract_z
_atom_site_occupancy
Pr1 0.250 0.250 0.250 1
Pr2 0.750 0.750 0.750 1
Re1 0.127 0.872 0.662 1
Re2 0.128 0.627 0.162 1
Re3 0.372 0.873 0.162 1
Re4 0.373 0.628 0.662 1
Re5 0.627 0.372 0.338 1
Re6 0.628 0.127 0.838 1
Re7 0.872 0.373 0.838 1
Re8 0.873 0.128 0.338 1
Si1 0.049 0.906 0.166 1
Si2 0.094 0.549 0.666 1
Si3 0.406 0.951 0.666 1
Si4 0.451 0.594 0.166 1
Si5 0.549 0.406 0.834 1
Si6 0.594 0.049 0.334 1
Si7 0.906 0.451 0.334 1
Si8 0.951 0.094 0.834 1
```

An optimized crystal structure of PrReSi2. Source: Alexandria, functional GGA-PBE.

Formation energy without anion corrections in eV per atom: -0.537

Structure (CIF):
```
data_PrReSi2
_chemical_formula_sum 'Pr4 Re4 Si8'
_space_group_name_H-M_alt 'P 1'
_space_group_IT_number 1
_cell_length_a 7.338
_cell_length_b 4.066
_cell_length_c 10.197
_cell_angle_alpha 90.00
_cell_angle_beta 90.00
_cell_angle_gamma 90.00
loop_
_space_group_symop_operation_xyz
'x,y,z'
loop_
_atom_site_label
_atom_site_fract_x
_atom_site_fract_y
_atom_site_fract_z
_atom_site_occupancy
Pr1 0.143 0.250 0.127 1
Pr2 0.357 0.750 0.627 1
Pr3 0.643 0.250 0.373 1
Pr4 0.857 0.750 0.873 1
Re1 0.013 0.750 0.395 1
Re2 0.487 0.250 0.895 1
Re3 0.513 0.750 0.105 1
Re4 0.987 0.250 0.605 1
Si1 0.161 0.250 0.810 1
Si2 0.202 0.250 0.425 1
Si3 0.298 0.750 0.925 1
Si4 0.339 0.750 0.310 1
Si5 0.661 0.250 0.690 1
Si6 0.702 0.250 0.075 1
Si7 0.798 0.750 0.575 1
Si8 0.839 0.750 0.190 1
```